Density functional theory data (PBE) for a relaxed RbTlPt3 crystal.

Geometry as POSCAR:
```
RbTlPt3
1.0
5.2074 0.0000 0.0000
0.0000 5.2074 0.0000
0.0000 0.0000 5.2074
Rb Tl Pt
1 1 3
Direct
0.0000 0.0000 0.0000
0.5000 0.5000 0.5000
0.0000 0.5000 0.5000
0.5000 0.0000 0.5000
0.5000 0.5000 0.0000
```

Output
Polymorph energy (0 for the lowest one): 800 meV/atom
Space-group type: Pm-3m (221)
DFT total energy: -3.508 eV per atom
Formation energy from the elements: 18.05 kcal/mol of atoms
Magnetic moment: 0.00 μB per formula unit